Below is a relaxed structure of GaAgH2Pb, with properties calculated at the PBE-GGA level.

Computed properties:
energy: -2.845 eV/atom
magnetization: 0.0 μB/f.u.

Unit cell a=3.962 b=3.962 c=5.919 alpha=90.00 beta=90.00 gamma=90.00
Positions (direct):
Ga  0.000  0.000  0.000
Ag  0.500  0.500  0.000
H  0.000  0.500  0.500
H  0.500  0.000  0.500
Pb  0.500  0.500  0.500

***

Below is a relaxed structure of AcBiCl, with properties calculated at the PBE-GGA level.

Computed properties:
E_form (uncorrected): -2.89 eV per formula unit
magnetization: 1.0 μB/f.u.

Unit cell a=7.752 b=7.752 c=7.752 alpha=90.00 beta=90.00 gamma=90.00
Positions (direct):
Ac  0.000  0.000  0.000
Ac  0.000  0.500  0.500
Ac  0.500  0.000  0.500
Ac  0.500  0.500  0.000
Bi  0.250  0.250  0.750
Bi  0.250  0.750  0.250
Bi  0.750  0.250  0.250
Bi  0.750  0.750  0.750
Cl  0.250  0.250  0.250
Cl  0.250  0.750  0.750
Cl  0.750  0.250  0.750
Cl  0.750  0.750  0.250

***

Below is a relaxed structure of PrURu4, with properties calculated at the PBE-GGA level.

Computed properties:
formation energy from the elements: 0.0100 eV per atom
magnetization: 0.0 μB/f.u.

Unit cell a=7.590 b=7.590 c=5.761 alpha=105.65 beta=105.65 gamma=45.46
Positions (direct):
Pr  0.190  0.190  0.274
Pr  0.810  0.810  0.726
U  0.418  0.418  0.624
U  0.582  0.582  0.376
Ru  0.105  0.671  0.300
Ru  0.252  0.748  0.000
Ru  0.304  0.304  0.889
Ru  0.329  0.895  0.700
Ru  0.671  0.105  0.300
Ru  0.696  0.696  0.111
Ru  0.748  0.252  0.000
Ru  0.895  0.329  0.700

***

Below is a relaxed structure of Li2TbPrS4, with properties calculated at the PBE-GGA level.

Computed properties:
E_form (uncorrected): -14.38 eV per formula unit
magnetization: 0.0 μB/f.u.

Unit cell a=6.620 b=4.015 c=6.957 alpha=90.00 beta=110.48 gamma=90.00
Positions (direct):
Li  0.000  0.000  0.000
Li  0.000  0.500  0.500
Tb  0.500  0.000  0.500
Pr  0.500  0.500  0.000
S  0.244  0.000  0.739
S  0.247  0.500  0.257
S  0.753  0.500  0.743
S  0.756  0.000  0.261

***

Below is a relaxed structure of BaSr2ZnO, with properties calculated at the PBE-GGA level.

Computed properties:
E_form (uncorrected): -5.29 eV per formula unit
magnetization: 0.0 μB/f.u.

Unit cell a=5.114 b=5.114 c=5.739 alpha=90.00 beta=90.00 gamma=90.00
Positions (direct):
Ba  0.000  0.000  0.000
Sr  0.000  0.500  0.500
Sr  0.500  0.000  0.500
Zn  0.500  0.500  0.000
O  0.000  0.000  0.500

***

Below is a relaxed structure of Sc3CoS, with properties calculated at the PBE-GGA level.

Computed properties:
E_form (uncorrected): -1.55 eV per formula unit
magnetization: 1.7 μB/f.u.

Unit cell a=4.757 b=4.757 c=4.757 alpha=90.00 beta=90.00 gamma=90.00
Positions (direct):
Sc  0.000  0.000  0.500
Sc  0.000  0.500  0.000
Sc  0.500  0.000  0.000
Co  0.500  0.500  0.500
S  0.000  0.000  0.000

***

Below is a relaxed structure of CeNd2InN, with properties calculated at the PBE-GGA level.

Computed properties:
E_form (uncorrected): -4.16 eV per formula unit
magnetization: 0.7 μB/f.u.

Unit cell a=5.078 b=5.078 c=4.844 alpha=90.00 beta=90.00 gamma=90.00
Positions (direct):
Ce  0.000  0.000  0.000
Nd  0.000  0.500  0.500
Nd  0.500  0.000  0.500
In  0.500  0.500  0.000
N  0.000  0.000  0.500

***

Below is a relaxed structure of CrBiRu, with properties calculated at the PBE-GGA level.

Computed properties:
formation energy from the elements: 0.4981 eV per atom
magnetization: 0.0 μB/f.u.

Unit cell a=3.024 b=2.994 c=6.113 alpha=90.00 beta=90.14 gamma=90.00
Positions (direct):
Cr  0.000  0.000  0.000
Bi  0.996  0.500  0.386
Ru  0.499  0.500  0.787

***

Below is a relaxed structure of BeIr2Pb, with properties calculated at the PBE-GGA level.

Computed properties:
formation energy from the elements: 0.5364 eV per atom
magnetization: 0.0 μB/f.u.

Unit cell a=5.776 b=8.838 c=2.976 alpha=90.00 beta=120.77 gamma=90.00
Positions (direct):
Be  0.000  0.000  0.000
Be  0.500  0.500  0.000
Ir  0.250  0.250  0.500
Ir  0.250  0.750  0.500
Ir  0.750  0.250  0.500
Ir  0.750  0.750  0.500
Pb  0.000  0.500  0.000
Pb  0.500  0.000  0.000

***

Below is a relaxed structure of ScTiPBr2, with properties calculated at the PBE-GGA level.

Computed properties:
E_form (uncorrected): 0.49 eV per formula unit
magnetization: 2.0 μB/f.u.

Unit cell a=4.734 b=4.734 c=6.321 alpha=90.00 beta=90.00 gamma=90.00
Positions (direct):
Sc  0.000  0.000  0.000
Ti  0.000  0.000  0.500
P  0.500  0.500  0.000
Br  0.000  0.500  0.500
Br  0.500  0.000  0.500

***

Below is a relaxed structure of ICl2O, with properties calculated at the PBE-GGA level.

Computed properties:
E_form (uncorrected): -0.32 eV per formula unit
magnetization: 0.0 μB/f.u.

Unit cell a=4.399 b=4.434 c=6.873 alpha=88.85 beta=81.44 gamma=89.73
Positions (direct):
I  0.000  0.000  0.000
Cl  0.331  0.034  0.264
Cl  0.668  0.055  0.737
O  0.002  0.590  0.999

***

Below is a relaxed structure of NbCuTe2I, with properties calculated at the PBE-GGA level.

Computed properties:
E_form (uncorrected): 2.35 eV per formula unit
magnetization: 0.0 μB/f.u.

Unit cell a=5.408 b=5.408 c=5.092 alpha=90.00 beta=90.00 gamma=90.00
Positions (direct):
Nb  0.000  0.000  0.000
Cu  0.000  0.000  0.500
Te  0.000  0.500  0.000
Te  0.500  0.000  0.000
I  0.500  0.500  0.500

***

Below is a relaxed structure of AlFeW, with properties calculated at the PBE-GGA level.

Computed properties:
formation energy from the elements: -0.0025 eV per atom
magnetization: 1.9 μB/f.u.

Unit cell a=3.253 b=4.239 c=12.244 alpha=90.00 beta=90.00 gamma=90.00
Positions (direct):
Al  0.000  0.000  0.000
Al  0.000  0.500  0.500
Al  0.500  0.000  0.500
Al  0.500  0.500  0.000
Fe  0.000  0.000  0.345
Fe  0.000  0.500  0.845
Fe  0.500  0.000  0.845
Fe  0.500  0.500  0.345
W  0.000  0.000  0.679
W  0.000  0.500  0.179
W  0.500  0.000  0.179
W  0.500  0.500  0.679

***

Below is a relaxed structure of MgMnSi4, with properties calculated at the PBE-GGA level.

Computed properties:
E_form (uncorrected): 1.77 eV per formula unit
magnetization: 3.7 μB/f.u.

Unit cell a=5.049 b=5.049 c=5.049 alpha=60.00 beta=60.00 gamma=60.00
Positions (direct):
Mg  0.000  0.000  0.000
Mn  0.250  0.250  0.250
Si  0.127  0.624  0.624
Si  0.624  0.127  0.624
Si  0.624  0.624  0.127
Si  0.624  0.624  0.624

***

Below is a relaxed structure of AcGa4Pt12, with properties calculated at the PBE-GGA level.

Computed properties:
formation energy from the elements: -0.1796 eV per atom
magnetization: 0.0 μB/f.u.

Unit cell a=7.483 b=7.483 c=7.483 alpha=109.47 beta=109.47 gamma=109.47
Positions (direct):
Ac  0.000  0.000  0.000
Ga  0.000  0.000  0.500
Ga  0.000  0.500  0.000
Ga  0.500  0.000  0.000
Ga  0.500  0.500  0.500
Pt  0.154  0.502  0.348
Pt  0.154  0.806  0.652
Pt  0.194  0.348  0.846
Pt  0.348  0.154  0.502
Pt  0.348  0.846  0.194
Pt  0.498  0.652  0.846
Pt  0.502  0.348  0.154
Pt  0.652  0.154  0.806
Pt  0.652  0.846  0.498
Pt  0.806  0.652  0.154
Pt  0.846  0.194  0.348
Pt  0.846  0.498  0.652

***

Below is a relaxed structure of YReOs, with properties calculated at the PBE-GGA level.

Computed properties:
formation energy from the elements: 1.8278 eV per atom
magnetization: 2.5 μB/f.u.

Unit cell a=6.383 b=6.383 c=6.383 alpha=90.00 beta=90.00 gamma=90.00
Positions (direct):
Y  0.000  0.000  0.000
Y  0.000  0.500  0.500
Y  0.500  0.000  0.500
Y  0.500  0.500  0.000
Re  0.250  0.250  0.750
Re  0.250  0.750  0.250
Re  0.750  0.250  0.250
Re  0.750  0.750  0.750
Os  0.250  0.250  0.250
Os  0.250  0.750  0.750
Os  0.750  0.250  0.750
Os  0.750  0.750  0.250

***

Below is a relaxed structure of InSi2As2, with properties calculated at the PBE-GGA level.

Computed properties:
E_form (uncorrected): 1.48 eV per formula unit
magnetization: 0.0 μB/f.u.

Unit cell a=4.246 b=4.246 c=12.937 alpha=90.00 beta=90.00 gamma=90.00
Positions (direct):
In  0.000  0.000  0.000
In  0.500  0.500  0.500
Si  0.000  0.500  0.250
Si  0.000  0.500  0.750
Si  0.500  0.000  0.250
Si  0.500  0.000  0.750
As  0.000  0.000  0.360
As  0.000  0.000  0.640
As  0.500  0.500  0.140
As  0.500  0.500  0.860

***

Below is a relaxed structure of BaLiB3, with properties calculated at the PBE-GGA level.

Computed properties:
formation energy from the elements: 1.5589 eV per atom
magnetization: 0.0 μB/f.u.

Unit cell a=4.348 b=4.348 c=4.348 alpha=90.00 beta=90.00 gamma=90.00
Positions (direct):
Ba  0.000  0.000  0.000
Li  0.500  0.500  0.500
B  0.000  0.500  0.500
B  0.500  0.000  0.500
B  0.500  0.500  0.000

***

Below is a relaxed structure of AlGaSN2, with properties calculated at the PBE-GGA level.

Computed properties:
E_form (uncorrected): 2.69 eV per formula unit
magnetization: 0.9 μB/f.u.

Unit cell a=3.649 b=3.649 c=5.501 alpha=90.00 beta=90.00 gamma=90.00
Positions (direct):
Al  0.000  0.000  0.000
Ga  0.500  0.500  0.500
S  0.000  0.000  0.500
N  0.000  0.500  0.000
N  0.500  0.000  0.000

***

Below is a relaxed structure of KSb4Pt6, with properties calculated at the PBE-GGA level.

Computed properties:
E_form (uncorrected): -3.66 eV per formula unit
magnetization: 0.0 μB/f.u.

Unit cell a=6.980 b=6.980 c=6.980 alpha=119.84 beta=119.84 gamma=90.27
Positions (direct):
K  0.000  0.000  0.000
Sb  0.131  0.554  0.000
Sb  0.446  0.446  0.576
Sb  0.554  0.131  0.000
Sb  0.869  0.869  0.424
Pt  0.000  0.500  0.500
Pt  0.225  0.225  0.678
Pt  0.453  0.775  0.000
Pt  0.500  0.000  0.500
Pt  0.547  0.547  0.322
Pt  0.775  0.453  0.000